{"formula": "Sr2Ga2Hg", "functional": "PBE-GGA", "state": "optimized geometry", "de_polymorph_ev_per_atom": 0.194, "delta_e_f_ev_per_atom": -0.2457, "magnetic_moment_mub_per_cell": 0.0, "spacegroup": "P4/mbm (127)", "lattice": [[9.114, 0.000, 0.000], [0.000, 9.114, 0.000], [0.000, 0.000, 3.893]], "species": ["Sr", "Sr", "Sr", "Sr", "Ga", "Ga", "Ga", "Ga", "Hg", "Hg"], "fractional_positions": [[0.191, 0.309, 0.000], [0.309, 0.809, 0.000], [0.691, 0.191, 0.000], [0.809, 0.691, 0.000], [0.098, 0.598, 0.500], [0.402, 0.098, 0.500], [0.598, 0.902, 0.500], [0.902, 0.402, 0.500], [0.000, 0.000, 0.000], [0.500, 0.500, 0.000]]}

{"formula": "TbLuZnHg", "functional": "PBE-GGA", "state": "optimized geometry", "delta_e_f_ev_per_atom": -0.3940, "magnetic_moment_mub_per_cell": 0.0, "spacegroup": "F-43m (216)", "lattice": [[0.000, 3.627, 3.627], [3.627, 0.000, 3.627], [3.627, 3.627, 0.000]], "species": ["Tb", "Lu", "Zn", "Hg"], "fractional_positions": [[0.000, 0.000, 0.000], [0.500, 0.500, 0.500], [0.750, 0.750, 0.750], [0.250, 0.250, 0.250]]}

{"formula": "SiAsC2", "functional": "PBE-GGA", "state": "optimized geometry", "de_polymorph_ev_per_atom": 0.214, "magnetic_moment_mub_per_cell": 0.0, "spacegroup": "Cm (8)", "lattice": [[4.388, -1.566, 0.000], [4.388, 1.566, 0.000], [-3.123, 0.000, 4.362]], "species": ["Si", "As", "C", "C"], "fractional_positions": [[0.000, 0.000, 0.000], [0.395, 0.395, 0.399], [0.464, 0.464, 0.122], [0.980, 0.980, 0.644]]}

{"formula": "Er3PuAg4Se8", "functional": "PBE-GGA", "state": "optimized geometry", "energy_ev_per_cell": -84.646, "magnetic_moment_mub_per_cell": 5.0, "spacegroup": "C2/m (12)", "lattice": [[6.858, -4.175, 0.000], [6.858, 4.175, 0.000], [-4.334, 0.000, 6.775]], "species": ["Er", "Er", "Er", "Pu", "Ag", "Ag", "Ag", "Ag", "Se", "Se", "Se", "Se", "Se", "Se", "Se", "Se"], "fractional_positions": [[0.000, 0.000, 0.000], [0.000, 0.500, 0.500], [0.500, 0.000, 0.500], [0.500, 0.500, 0.000], [0.000, 0.000, 0.500], [0.000, 0.500, 0.000], [0.500, 0.000, 0.000], [0.500, 0.500, 0.500], [0.243, 0.751, 0.749], [0.248, 0.248, 0.252], [0.249, 0.249, 0.742], [0.249, 0.757, 0.251], [0.751, 0.243, 0.749], [0.751, 0.751, 0.258], [0.752, 0.752, 0.748], [0.757, 0.249, 0.251]]}

{"formula": "ErPuAgRh", "functional": "PBE-GGA", "state": "optimized geometry", "delta_e_f_ev_per_atom": -0.3245, "magnetic_moment_mub_per_cell": 5.7, "spacegroup": "F-43m (216)", "lattice": [[0.000, 3.525, 3.525], [3.525, 0.000, 3.525], [3.525, 3.525, 0.000]], "species": ["Er", "Pu", "Ag", "Rh"], "fractional_positions": [[0.000, 0.000, 0.000], [0.500, 0.500, 0.500], [0.250, 0.250, 0.250], [0.750, 0.750, 0.750]]}

{"formula": "InPd3Au7", "functional": "PBE-GGA", "state": "optimized geometry", "delta_e_f_ev_per_atom": 0.0508, "magnetic_moment_mub_per_cell": 0.0, "spacegroup": "C2/m (12)", "lattice": [[4.853, -4.994, 0.000], [4.853, 4.994, 0.000], [-2.539, 0.000, 4.373]], "species": ["In", "Pd", "Pd", "Pd", "Au", "Au", "Au", "Au", "Au", "Au", "Au"], "fractional_positions": [[0.000, 0.000, 0.000], [0.267, 0.733, 0.500], [0.500, 0.500, 0.000], [0.733, 0.267, 0.500], [0.000, 0.000, 0.500], [0.092, 0.567, 0.829], [0.327, 0.327, 0.338], [0.433, 0.908, 0.171], [0.567, 0.092, 0.829], [0.673, 0.673, 0.662], [0.908, 0.433, 0.171]]}

{"formula": "NbIn2Bi", "functional": "PBE-GGA", "state": "optimized geometry", "delta_e_f_ev_per_atom": 0.5318, "magnetic_moment_mub_per_cell": 0.0, "spacegroup": "R-3m (166)", "lattice": [[1.614, 0.932, 11.631], [-1.614, 0.932, 11.631], [0.000, -1.864, 11.631]], "species": ["Nb", "In", "In", "Bi"], "fractional_positions": [[0.000, 0.000, 0.000], [0.082, 0.082, 0.082], [0.918, 0.918, 0.918], [0.500, 0.500, 0.500]]}

{"formula": "NbCuSN2", "functional": "PBE-GGA", "state": "optimized geometry", "de_polymorph_ev_per_atom": 0.656, "magnetic_moment_mub_per_cell": 0.1, "spacegroup": "P4/mmm (123)", "lattice": [[3.762, 0.000, 0.000], [0.000, 3.762, 0.000], [0.000, 0.000, 4.376]], "species": ["Nb", "Cu", "S", "N", "N"], "fractional_positions": [[0.000, 0.000, 0.000], [0.500, 0.500, 0.500], [0.500, 0.500, 0.000], [0.000, 0.500, 0.500], [0.500, 0.000, 0.500]]}

{"formula": "SrTa2Cd", "functional": "PBE-GGA", "state": "optimized geometry", "delta_e_f_ev_per_atom": 0.8252, "magnetic_moment_mub_per_cell": 0.0, "spacegroup": "R-3m (166)", "lattice": [[1.521, 0.878, 11.103], [-1.521, 0.878, 11.103], [0.000, -1.756, 11.103]], "species": ["Sr", "Ta", "Ta", "Cd"], "fractional_positions": [[0.000, 0.000, 0.000], [0.243, 0.243, 0.243], [0.757, 0.757, 0.757], [0.500, 0.500, 0.500]]}

{"formula": "Ta2MnCu", "functional": "PBE-GGA", "state": "optimized geometry", "delta_e_f_ev_per_atom": 0.2987, "magnetic_moment_mub_per_cell": 2.9, "spacegroup": "R-3m (166)", "lattice": [[1.419, 0.819, 9.141], [-1.419, 0.819, 9.141], [0.000, -1.638, 9.141]], "species": ["Ta", "Ta", "Mn", "Cu"], "fractional_positions": [[0.250, 0.250, 0.250], [0.750, 0.750, 0.750], [0.000, 0.000, 0.000], [0.500, 0.500, 0.500]]}

{"formula": "Na2Hg2I", "functional": "PBE-GGA", "state": "optimized geometry", "de_polymorph_ev_per_atom": 0.041, "magnetic_moment_mub_per_cell": 0.0, "spacegroup": "P4/mbm (127)", "lattice": [[8.760, 0.000, 0.000], [0.000, 8.760, 0.000], [0.000, 0.000, 4.114]], "species": ["Na", "Na", "Na", "Na", "Hg", "Hg", "Hg", "Hg", "I", "I"], "fractional_positions": [[0.179, 0.321, 0.000], [0.321, 0.821, 0.000], [0.679, 0.179, 0.000], [0.821, 0.679, 0.000], [0.121, 0.621, 0.500], [0.379, 0.121, 0.500], [0.621, 0.879, 0.500], [0.879, 0.379, 0.500], [0.000, 0.000, 0.500], [0.500, 0.500, 0.500]]}

{"formula": "SrErCuO3", "functional": "PBE-GGA", "state": "optimized geometry", "energy_ev_per_cell": -79.968, "magnetic_moment_mub_per_cell": 0.0, "spacegroup": "Cmcm (63)", "lattice": [[1.831, -6.387, 0.000], [1.831, 6.387, 0.000], [0.000, 0.000, 8.316]], "species": ["Sr", "Sr", "Er", "Er", "Cu", "Cu", "O", "O", "O", "O", "O", "O"], "fractional_positions": [[0.185, 0.815, 0.750], [0.815, 0.185, 0.250], [0.500, 0.500, 0.000], [0.500, 0.500, 0.500], [0.114, 0.886, 0.250], [0.886, 0.114, 0.750], [0.113, 0.887, 0.032], [0.113, 0.887, 0.468], [0.436, 0.564, 0.250], [0.564, 0.436, 0.750], [0.887, 0.113, 0.532], [0.887, 0.113, 0.968]]}

{"formula": "ZrMo2Ir", "functional": "PBE-GGA", "state": "optimized geometry", "de_polymorph_ev_per_atom": 0.268, "delta_e_f_ev_per_atom": 0.0708, "magnetic_moment_mub_per_cell": 0.0, "spacegroup": "Cmmm (65)", "lattice": [[2.683, -4.505, 0.000], [2.683, 4.505, 0.000], [0.000, 0.000, 2.803]], "species": ["Zr", "Mo", "Mo", "Ir"], "fractional_positions": [[0.000, 0.000, 0.000], [0.000, 0.500, 0.500], [0.500, 0.000, 0.500], [0.500, 0.500, 0.000]]}

{"formula": "Rb6NaTl", "functional": "PBE-GGA", "state": "optimized geometry", "delta_e_f_ev_per_atom": 0.0145, "magnetic_moment_mub_per_cell": 0.0, "spacegroup": "Amm2 (38)", "lattice": [[5.060, 0.000, 0.000], [0.000, 7.377, 7.723], [0.000, -7.377, 7.723]], "species": ["Rb", "Rb", "Rb", "Rb", "Rb", "Rb", "Na", "Tl"], "fractional_positions": [[0.000, 0.000, 0.000], [0.000, 0.538, 0.939], [0.000, 0.939, 0.538], [0.500, 0.281, 0.698], [0.500, 0.293, 0.293], [0.500, 0.698, 0.281], [0.500, 0.660, 0.660], [0.000, 0.521, 0.521]]}

{"formula": "GaSiNiOs", "functional": "PBE-GGA", "state": "optimized geometry", "de_polymorph_ev_per_atom": 0.138, "magnetic_moment_mub_per_cell": 0.0, "spacegroup": "Cm (8)", "lattice": [[3.861, -1.464, 0.000], [3.861, 1.464, 0.000], [-3.352, 0.000, 4.939]], "species": ["Ga", "Si", "Ni", "Os"], "fractional_positions": [[0.000, 0.000, 0.000], [0.784, 0.784, 0.489], [0.168, 0.168, 0.732], [0.413, 0.413, 0.290]]}